Entry from Alexandria: a relaxed structure of BaHg2Bi (PBE).

Summary:
- ΔE_f (meV per atom) = -407.4
- total magnetization (μB per formula unit) = 0.00

CIF file:
```
data_BaHg2Bi
_cell_length_a 5.0071
_cell_length_b 5.0071
_cell_length_c 5.2346
_cell_angle_alpha 90.00
_cell_angle_beta 90.00
_cell_angle_gamma 90.00
_space_group_name_H-M_alt 'P 4/m m m'
_space_group_IT_number 123
_space_group_name_Hall '-P 4 2'
loop_
_atom_site_label
_atom_site_fract_x
_atom_site_fract_y
_atom_site_fract_z
Ba1 0.0000 0.0000 0.0000
Hg1 0.0000 0.5000 0.5000
Bi1 0.5000 0.5000 0.0000
```


Entry from Alexandria: a relaxed structure of BaHgBi3 (PBE).

Summary:
- ΔE_f (meV per atom) = -23.2
- relative energy among the computed polymorphs (eV/atom) = 0.3121
- total magnetization (μB per formula unit) = 0.00

CIF file:
```
data_BaHgBi3
_cell_length_a 5.8099
_cell_length_b 5.8099
_cell_length_c 5.8099
_cell_angle_alpha 90.00
_cell_angle_beta 90.00
_cell_angle_gamma 90.00
_space_group_name_H-M_alt 'P m -3 m'
_space_group_IT_number 221
_space_group_name_Hall '-P 4 2 3'
loop_
_atom_site_label
_atom_site_fract_x
_atom_site_fract_y
_atom_site_fract_z
Ba1 0.0000 0.0000 0.0000
Hg1 0.5000 0.5000 0.5000
Bi1 0.0000 0.5000 0.5000
```